(1)
Computed, not measured: MgAsPtO after structural relaxation at the GGA-PBE level of DFT.

Cell lengths 2.8921, 5.5194, 7.4020 Å; angles 90.32, 90.01, 90.00 degrees
Space group P1 (No. 1)
Unique sites:
1 Mg 0.0000 0.0000 0.0000
2 Mg 0.0001 0.5003 0.0637
3 As 0.0007 0.6831 0.6574
4 As 0.9985 0.1832 0.4068
5 Pt 0.4995 0.2713 0.6772
6 Pt 0.5011 0.7733 0.3882
7 O 0.4998 0.2571 0.0010
8 O 0.4999 0.7572 0.0621

Values from the calculation:
- raw total energy (eV per atom) = -5.4050
- crystal system = triclinic
- calculated volume (A^3/atom) = 14.77

(2)
Computed, not measured: MgAsPtO after structural relaxation at the GGA-PBE level of DFT.

Cell lengths 4.2869, 4.2869, 6.9128 Å; angles 90.00, 90.00, 90.00 degrees
Space group P4/nmm (No. 129, origin choice 2)
Unique sites:
1 Mg 0.2500 0.7500 0.0000
2 As 0.2500 0.2500 0.4085
3 Pt 0.2500 0.2500 0.7805
4 O 0.2500 0.7500 0.5000

Values from the calculation:
- raw total energy (eV per atom) = -4.5850
- crystal system = tetragonal
- calculated volume (A^3/atom) = 15.88

(3)
Computed, not measured: MgReAsO after structural relaxation at the GGA-PBE level of DFT.

Cell lengths 3.6822, 3.6822, 8.1633 Å; angles 90.00, 90.00, 90.00 degrees
Space group P4/nmm (No. 129, origin choice 2)
Unique sites:
1 Mg 0.2500 0.7500 0.0000
2 Re 0.2500 0.2500 0.3472
3 As 0.2500 0.2500 0.7658
4 O 0.2500 0.7500 0.5000

Values from the calculation:
- raw total energy (eV per atom) = -5.7330
- crystal system = tetragonal
- calculated volume (A^3/atom) = 13.84

(4)
Computed, not measured: MgReAsO after structural relaxation at the GGA-PBE level of DFT.

Cell lengths 3.8503, 3.8503, 9.3094 Å; angles 90.00, 90.00, 90.00 degrees
Space group P4/nmm (No. 129, origin choice 2)
Unique sites:
1 Mg 0.2500 0.2500 0.0252
2 Re 0.2500 0.7500 0.5000
3 As 0.2500 0.2500 0.6855
4 O 0.2500 0.7500 0.0000

Values from the calculation:
- raw total energy (eV per atom) = -6.8696
- crystal system = tetragonal
- calculated volume (A^3/atom) = 17.25

(5)
Computed, not measured: MgReAsO after structural relaxation at the GGA-PBE level of DFT.

Cell lengths 4.0505, 4.8414, 5.8913 Å; angles 90.00, 90.00, 90.00 degrees
Space group Pmc2_1 (No. 26)
Unique sites:
1 Mg 0.0000 0.2341 0.0000
2 Re 0.5000 0.3933 0.3240
3 As 0.5000 0.1164 0.6852
4 O 0.0000 0.4003 0.3214

Values from the calculation:
- raw total energy (eV per atom) = -6.5454
- crystal system = orthorhombic
- calculated volume (A^3/atom) = 14.44

(6)
Computed, not measured: MgReAsO after structural relaxation at the GGA-PBE level of DFT.

Cell lengths 3.2276, 6.5844, 5.8194 Å; angles 90.00, 90.00, 90.00 degrees
Space group Pmc2_1 (No. 26)
Unique sites:
1 Mg 0.0000 0.1194 0.0000
2 Re 0.5000 0.4984 0.7325
3 As 0.0000 0.2869 0.4848
4 O 0.5000 0.2682 0.9831

Values from the calculation:
- raw total energy (eV per atom) = -6.6286
- crystal system = orthorhombic
- calculated volume (A^3/atom) = 15.46

(7)
Computed, not measured: TbMgAsO after structural relaxation at the GGA-PBE level of DFT.

Cell lengths 4.4407, 6.1438, 5.9062 Å; angles 90.00, 90.00, 90.00 degrees
Space group Pmc2_1 (No. 26)
Unique sites:
1 Tb 0.0000 0.2266 0.0000
2 Mg 0.5000 0.3986 0.6409
3 As 0.0000 0.2417 0.4932
4 O 0.5000 0.3201 0.9710

Values from the calculation:
- raw total energy (eV per atom) = -5.8867
- crystal system = orthorhombic
- calculated volume (A^3/atom) = 20.14

(8)
Computed, not measured: TbMgAsO after structural relaxation at the GGA-PBE level of DFT.

Cell lengths 3.8370, 6.1290, 6.7160 Å; angles 90.00, 90.00, 90.00 degrees
Space group Pmc2_1 (No. 26)
Unique sites:
1 Tb 0.0000 0.0433 0.0000
2 Mg 0.5000 0.3673 0.3339
3 As 0.5000 0.2266 0.7233
4 O 0.0000 0.2486 0.2754

Values from the calculation:
- raw total energy (eV per atom) = -5.8019
- crystal system = orthorhombic
- calculated volume (A^3/atom) = 19.74

(9)
Computed, not measured: MgTcAsO after structural relaxation at the GGA-PBE level of DFT.

Cell lengths 4.0455, 4.8423, 5.9231 Å; angles 90.00, 90.00, 90.00 degrees
Space group Pmc2_1 (No. 26)
Unique sites:
1 Mg 0.0000 0.2363 0.0000
2 Tc 0.5000 0.3901 0.3226
3 As 0.5000 0.1173 0.6841
4 O 0.0000 0.4011 0.3187

Values from the calculation:
- raw total energy (eV per atom) = -6.1658
- crystal system = orthorhombic
- calculated volume (A^3/atom) = 14.50

(10)
Computed, not measured: MgTcAsO after structural relaxation at the GGA-PBE level of DFT.

Cell lengths 3.8841, 3.8841, 9.0694 Å; angles 90.00, 90.00, 90.00 degrees
Space group P4/nmm (No. 129, origin choice 2)
Unique sites:
1 Mg 0.2500 0.2500 0.0175
2 Tc 0.2500 0.7500 0.5000
3 As 0.2500 0.2500 0.6820
4 O 0.2500 0.7500 0.0000

Values from the calculation:
- raw total energy (eV per atom) = -6.4461
- crystal system = tetragonal
- calculated volume (A^3/atom) = 17.10

(11)
Computed, not measured: MgTcAsO after structural relaxation at the GGA-PBE level of DFT.

Cell lengths 3.2713, 6.4000, 5.8886 Å; angles 90.00, 90.00, 90.00 degrees
Space group Pmc2_1 (No. 26)
Unique sites:
1 Mg 0.0000 0.1272 0.0000
2 Tc 0.5000 0.4985 0.1837
3 As 0.0000 0.2880 0.4412
4 O 0.5000 0.2598 0.9265

Values from the calculation:
- raw total energy (eV per atom) = -6.3087
- crystal system = orthorhombic
- calculated volume (A^3/atom) = 15.41

(12)
Computed, not measured: MgTcAsO after structural relaxation at the GGA-PBE level of DFT.

Cell lengths 3.6959, 3.6959, 8.2342 Å; angles 90.00, 90.00, 90.00 degrees
Space group P4/nmm (No. 129, origin choice 2)
Unique sites:
1 Mg 0.2500 0.7500 0.0000
2 Tc 0.2500 0.2500 0.3525
3 As 0.2500 0.2500 0.7675
4 O 0.2500 0.7500 0.5000

Values from the calculation:
- raw total energy (eV per atom) = -5.4365
- crystal system = tetragonal
- calculated volume (A^3/atom) = 14.06